1.
# AsAuS3, single point on PBEsol structure, DFT SCAN
data_AsAuS3
_chemical_formula_sum 'As1 Au1 S3'
_space_group_name_H-M_alt 'P 1'
_space_group_IT_number 1
_cell_length_a 4.647
_cell_length_b 4.647
_cell_length_c 4.647
_cell_angle_alpha 90.00
_cell_angle_beta 90.00
_cell_angle_gamma 90.00
loop_
_space_group_symop_operation_xyz
'x,y,z'
loop_
_atom_site_label
_atom_site_type_symbol
_atom_site_fract_x
_atom_site_fract_y
_atom_site_fract_z
S1 S 0.000 0.500 0.000
S2 S 0.500 0.000 0.000
S3 S 0.000 0.000 0.500
As1 As 0.000 0.000 0.000
Au1 Au 0.500 0.500 0.500
# Energy relative to the elements, uncorrected ... 0.83 eV/atom


2.
# AsWAu2S, single point on PBEsol structure, DFT SCAN
data_AsWAu2S
_chemical_formula_sum 'As1 W1 Au2 S1'
_space_group_name_H-M_alt 'P 1'
_space_group_IT_number 1
_cell_length_a 4.415
_cell_length_b 4.687
_cell_length_c 4.687
_cell_angle_alpha 90.00
_cell_angle_beta 90.00
_cell_angle_gamma 90.00
loop_
_space_group_symop_operation_xyz
'x,y,z'
loop_
_atom_site_label
_atom_site_type_symbol
_atom_site_fract_x
_atom_site_fract_y
_atom_site_fract_z
Au1 Au 0.000 0.500 0.000
W1 W 0.500 0.000 0.000
S1 S 0.000 0.000 0.000
Au2 Au 0.000 0.000 0.500
As1 As 0.500 0.500 0.500
# Energy relative to the elements, uncorrected ... 1.14 eV/atom


3.
# Sb2AsAu, single point on PBEsol structure, DFT SCAN
data_Sb2AsAu
_chemical_formula_sum 'Sb2 As1 Au1'
_space_group_name_H-M_alt 'P 1'
_space_group_IT_number 1
_cell_length_a 3.996
_cell_length_b 3.996
_cell_length_c 7.057
_cell_angle_alpha 73.55
_cell_angle_beta 73.55
_cell_angle_gamma 60.00
loop_
_space_group_symop_operation_xyz
'x,y,z'
loop_
_atom_site_label
_atom_site_type_symbol
_atom_site_fract_x
_atom_site_fract_y
_atom_site_fract_z
Au1 Au 0.500 0.500 0.500
Sb1 Sb 0.753 0.753 0.741
Sb2 Sb 0.247 0.247 0.259
As1 As 0.000 0.000 0.000
# Energy relative to the elements, uncorrected ... -0.07 eV/atom


4.
# Sb2AsAu, single point on PBEsol structure, DFT SCAN
data_Sb2AsAu
_chemical_formula_sum 'Sb2 As1 Au1'
_space_group_name_H-M_alt 'P 1'
_space_group_IT_number 1
_cell_length_a 2.957
_cell_length_b 3.963
_cell_length_c 8.015
_cell_angle_alpha 90.00
_cell_angle_beta 90.00
_cell_angle_gamma 90.00
loop_
_space_group_symop_operation_xyz
'x,y,z'
loop_
_atom_site_label
_atom_site_type_symbol
_atom_site_fract_x
_atom_site_fract_y
_atom_site_fract_z
As1 As 0.000 0.500 0.500
Sb1 Sb 0.000 0.000 0.758
Au1 Au 0.000 0.500 0.000
Sb2 Sb 0.000 0.000 0.242
# Energy relative to the elements, uncorrected ... 0.00 eV/atom


Copy entry 4 word for word.
# Sb2AsAu, single point on PBEsol structure, DFT SCAN
data_Sb2AsAu
_chemical_formula_sum 'Sb2 As1 Au1'
_space_group_name_H-M_alt 'P 1'
_space_group_IT_number 1
_cell_length_a 2.957
_cell_length_b 3.963
_cell_length_c 8.015
_cell_angle_alpha 90.00
_cell_angle_beta 90.00
_cell_angle_gamma 90.00
loop_
_space_group_symop_operation_xyz
'x,y,z'
loop_
_atom_site_label
_atom_site_type_symbol
_atom_site_fract_x
_atom_site_fract_y
_atom_site_fract_z
As1 As 0.000 0.500 0.500
Sb1 Sb 0.000 0.000 0.758
Au1 Au 0.000 0.500 0.000
Sb2 Sb 0.000 0.000 0.242
# Energy relative to the elements, uncorrected ... 0.00 eV/atom